This record from Alexandria describes an optimized crystal structure of GaRe3I. The functional is PBE-GGA.

Geometry as POSCAR:
```
GaRe3I
1.0
-4.589 -1.279 0.944
1.541 -2.874 3.598
-0.389 3.700 3.122
I Ga Re
1 1 3
Direct
0.000 0.000 0.000
0.500 0.500 0.500
0.000 0.000 0.500
0.000 0.500 0.000
0.500 0.000 0.000
```

Properties
Formation energy without anion corrections: 2866 meV per atom
Density: 10.95 g/cm³
Total DFT energy (no corrections): -27.6 eV/cell
Polymorph energy (0 for the lowest one): 0.5741 eV/atom
Density of states at the Fermi level: 0.864 states/eV per atom

---

This record from Alexandria describes an optimized crystal structure of PmGa2CuPt4. The functional is PBE-GGA.

Geometry as POSCAR:
```
PmGa2CuPt4
1.0
4.302 0.000 0.000
2.151 3.726 0.000
2.151 1.242 8.706
Pt Pm Ga Cu
4 1 2 1
Direct
0.403 0.403 0.791
0.868 0.868 0.397
0.132 0.132 0.603
0.597 0.597 0.209
0.000 0.000 0.000
0.761 0.761 0.717
0.239 0.239 0.283
0.500 0.500 0.500
```

Properties
Density: 13.43 g/cm³
Total DFT energy (no corrections): -44.7 eV/cell
Energy relative to the elements: -701 meV/atom
Density of states at the Fermi level: 0.591 states/eV per atom

---

This record from Alexandria describes an optimized crystal structure of Sm2Ge3Os. The functional is PBE-GGA.

Geometry as POSCAR:
```
Sm2Ge3Os
1.0
-0.147 -3.542 -2.533
5.319 -1.378 1.617
-4.549 -0.358 4.512
Sm Ge Os
2 3 1
Direct
0.684 0.184 0.369
0.316 0.816 0.631
0.000 0.000 0.000
0.626 0.626 0.251
0.374 0.374 0.749
0.000 0.500 0.000
```

Properties
Density: 8.88 g/cm³
Total DFT energy (no corrections): -36.1 eV/cell
Energy relative to the elements: -255 meV/atom
Polymorph energy (0 for the lowest one): 0.2897 eV/atom
Density of states at the Fermi level: 0.994 states/eV per atom

---

This record from Alexandria describes an optimized crystal structure of Hf2TaHg. The functional is PBE-GGA.

Geometry as POSCAR:
```
Hf2TaHg
1.0
-2.911 -0.532 1.188
-0.818 -2.927 0.965
2.016 0.866 9.608
Hf Hg Ta
2 1 1
Direct
0.747 0.747 0.758
0.253 0.253 0.242
0.500 0.500 0.500
0.000 0.000 0.000
```

Properties
Density: 14.38 g/cm³
Total DFT energy (no corrections): -31.8 eV/cell
Energy relative to the elements: 59 meV/atom
Density of states at the Fermi level: 0.884 states/eV per atom

---

This record from Alexandria describes an optimized crystal structure of TcSbIr2. The functional is PBE-GGA.

Geometry as POSCAR:
```
TcSbIr2
1.0
-0.829 -3.811 -0.882
0.318 -0.964 3.867
-3.908 0.733 0.504
Sb Ir Tc
1 2 1
Direct
0.500 0.000 0.500
0.500 0.500 0.000
0.000 0.000 0.000
0.000 0.500 0.500
```

Properties
Formation energy without anion corrections: 186 meV per atom
Density: 15.66 g/cm³
Total DFT energy (no corrections): -31.5 eV/cell
Density of states at the Fermi level: 1.006 states/eV per atom

---

This record from Alexandria describes an optimized crystal structure of Ac4SmCd3. The functional is PBE-GGA.

Geometry as POSCAR:
```
Ac4SmCd3
1.0
-3.787 2.790 3.393
-1.355 -2.150 5.214
5.494 5.212 6.804
Ac Cd Sm
4 3 1
Direct
0.380 0.380 0.861
0.620 0.620 0.139
0.128 0.128 0.617
0.872 0.872 0.383
0.500 0.500 0.500
0.744 0.744 0.768
0.256 0.256 0.232
0.000 0.000 0.000
```

Properties
Density: 8.27 g/cm³
Total DFT energy (no corrections): -25.2 eV/cell
Energy relative to the elements: -157 meV/atom
Density of states at the Fermi level: 1.141 states/eV per atom

---

This record from Alexandria describes an optimized crystal structure of TbSmCoSi. The functional is PBE-GGA.

Geometry as POSCAR:
```
TbSmCoSi
1.0
-1.911 -2.820 -2.103
3.999 -0.001 0.173
-0.312 -2.241 7.094
Co Si Sm Tb
1 1 1 1
Direct
0.507 0.618 0.125
0.835 0.282 0.117
0.348 0.038 0.386
0.003 0.866 0.868
```

Properties
Formation energy without anion corrections: -471 meV per atom
Density: 6.70 g/cm³
Total DFT energy (no corrections): -23.8 eV/cell
Density of states at the Fermi level: 1.377 states/eV per atom

---

This record from Alexandria describes an optimized crystal structure of LiSiMo. The functional is PBE-GGA.

Geometry as POSCAR:
```
LiSiMo
1.0
4.108 0.000 0.000
-2.054 3.558 0.000
0.000 0.000 2.704
Mo Si Li
1 1 1
Direct
0.667 0.333 0.334
0.333 0.667 0.831
0.000 0.000 0.836
```

Properties
Formation energy without anion corrections: -57 meV per atom
Density: 5.50 g/cm³
Total DFT energy (no corrections): -18.3 eV/cell
Polymorph energy (0 for the lowest one): 0.1229 eV/atom
Density of states at the Fermi level: 0.837 states/eV per atom

---

This record from Alexandria describes an optimized crystal structure of Ir2Se. The functional is PBE-GGA.

Geometry as POSCAR:
```
Ir2Se
1.0
4.034 0.000 0.000
0.000 4.034 0.000
0.000 0.000 3.130
Ir Se
2 1
Direct
0.000 0.500 0.500
0.500 0.000 0.500
0.000 0.000 0.000
```

Properties
Formation energy without anion corrections: 725 meV per atom
Density: 15.11 g/cm³
Total DFT energy (no corrections): -19.0 eV/cell
Polymorph energy (0 for the lowest one): 0.7170 eV/atom
Density of states at the Fermi level: 0.994 states/eV per atom

---

This record from Alexandria describes an optimized crystal structure of Ta2CuCl. The functional is PBE-GGA.

Geometry as POSCAR:
```
Ta2CuCl
1.0
-0.974 -0.040 -5.445
4.115 -0.794 -3.610
-3.041 -1.865 4.228
Cu Ta Cl
1 2 1
Direct
0.255 0.755 0.500
0.727 0.227 0.500
0.999 0.999 0.000
0.519 0.519 0.000
```

Properties
Formation energy without anion corrections: 381 meV per atom
Density: 11.77 g/cm³
Total DFT energy (no corrections): -28.1 eV/cell
Polymorph energy (0 for the lowest one): 0.3805 eV/atom
Density of states at the Fermi level: 0.822 states/eV per atom

---

This record from Alexandria describes an optimized crystal structure of Be2TcPb. The functional is PBE-GGA.

Geometry as POSCAR:
```
Be2TcPb
1.0
6.880 0.000 0.000
0.000 6.880 0.000
3.440 3.440 2.725
Pb Be Tc
2 4 2
Direct
0.000 0.000 0.000
0.750 0.250 0.500
0.574 0.125 0.250
0.875 0.824 0.750
0.176 0.625 0.250
0.375 0.426 0.750
0.500 0.500 0.000
0.250 0.750 0.500
```

Properties
Density: 8.32 g/cm³
Total DFT energy (no corrections): -36.7 eV/cell
Energy relative to the elements: 797 meV/atom
Density of states at the Fermi level: 0.384 states/eV per atom

---

This record from Alexandria describes an optimized crystal structure of SrZn2In. The functional is PBE-GGA.

Geometry as POSCAR:
```
SrZn2In
1.0
-4.181 2.850 -0.354
-1.904 -3.218 -3.427
-6.966 -5.098 4.904
In Zn Sr
2 4 2
Direct
0.750 0.250 0.500
0.000 0.000 0.000
0.375 0.130 0.750
0.875 0.120 0.750
0.870 0.125 0.250
0.880 0.625 0.250
0.500 0.500 0.000
0.250 0.750 0.500
```

Properties
Density: 4.65 g/cm³
Total DFT energy (no corrections): -14.5 eV/cell
Energy relative to the elements: -67 meV/atom
Density of states at the Fermi level: 0.446 states/eV per atom

---

This record from Alexandria describes an optimized crystal structure of CrAs2. The functional is PBE-GGA.

Geometry as POSCAR:
```
CrAs2
1.0
0.000 3.915 3.915
3.915 0.000 3.915
3.915 3.915 0.000
As Cr
4 2
Direct
0.125 0.125 0.625
0.125 0.125 0.125
0.625 0.125 0.125
0.125 0.625 0.125
0.500 0.500 0.500
0.750 0.750 0.750
```

Properties
Density: 5.58 g/cm³
Total DFT energy (no corrections): -33.7 eV/cell
Energy relative to the elements: 686 meV/atom
Density of states at the Fermi level: 0.672 states/eV per atom

---

This record from Alexandria describes an optimized crystal structure of La4PmNdSm2. The functional is PBE-GGA.

Geometry as POSCAR:
```
La4PmNdSm2
1.0
-0.827 3.611 0.040
-4.599 -1.101 4.324
6.357 1.342 10.293
Nd La Sm Pm
1 4 2 1
Direct
0.500 0.500 0.000
0.000 0.249 0.251
0.000 0.751 0.749
0.500 0.751 0.250
0.500 0.249 0.750
0.500 0.000 0.500
0.000 0.000 0.000
0.000 0.500 0.500
```

Properties
Density: 6.69 g/cm³
Total DFT energy (no corrections): -38.6 eV/cell
Energy relative to the elements: 12 meV/atom
Density of states at the Fermi level: 1.671 states/eV per atom

---

This record from Alexandria describes an optimized crystal structure of TmScTe. The functional is PBE-GGA.

Geometry as POSCAR:
```
TmScTe
1.0
5.144 0.000 0.000
0.000 8.081 0.000
0.000 0.000 8.081
Sc Te Tm
4 4 4
Direct
0.500 0.933 0.167
0.000 0.833 0.933
0.000 0.167 0.067
0.500 0.067 0.833
0.500 0.312 0.107
0.000 0.893 0.312
0.000 0.107 0.688
0.500 0.688 0.893
0.500 0.726 0.525
0.500 0.274 0.475
0.000 0.475 0.726
0.000 0.525 0.274
```

Properties
Formation energy without anion corrections: -513 meV per atom
Density: 6.75 g/cm³
Total DFT energy (no corrections): -61.9 eV/cell
Polymorph energy (0 for the lowest one): 0.2149 eV/atom
Density of states at the Fermi level: 1.087 states/eV per atom